[1]
Compound: AgHgPt2
Source: Alexandria via LeMat-Bulk
Functional: PBEsol
Structure: optimized geometry

Properties
spin magnetization: 0.0 μB per formula unit
Fermi-level density of states: 1.509 states/eV/cell
space group: P4/mmm
total DFT energy (no corrections): -17.79 eV per cell

abc: 4.044 4.044 4.002
angles: 90.00 90.00 90.00
Sites, in units of the cell vectors:
Ag 0.000 0.000 0.000
Hg 0.500 0.500 0.000
Pt 0.000 0.500 0.500
Pt 0.500 0.000 0.500



[2]
Compound: CoTcCl2
Source: Alexandria via LeMat-Bulk
Functional: PBEsol
Structure: optimized geometry

Properties
spin magnetization: 0.0 μB per formula unit
Fermi-level density of states: 2.632 states/eV/cell
space group: Pm
total DFT energy (no corrections): -22.07 eV per cell

abc: 3.933 3.340 5.585
angles: 90.00 98.72 90.00
Sites, in units of the cell vectors:
Co 0.000 0.000 0.000
Tc 0.596 0.500 0.016
Cl 0.030 0.500 0.744
Cl 0.425 0.000 0.287



[3]
Compound: Na2FeCo
Source: Alexandria via LeMat-Bulk
Functional: PBEsol
Structure: optimized geometry

Properties
spin magnetization: 4.6 μB per formula unit
Fermi-level density of states: 5.676 states/eV/cell
space group: Fm-3m
total DFT energy (no corrections): -14.29 eV per cell

abc: 4.614 4.614 4.614
angles: 60.00 60.00 60.00
Sites, in units of the cell vectors:
Na 0.250 0.250 0.250
Na 0.750 0.750 0.750
Fe 0.000 0.000 0.000
Co 0.500 0.500 0.500